## NaDy2Cu2S4 (PBE-GGA)

Data for an optimized crystal structure of NaDy2Cu2S4.

Lattice parameters (Å, degrees): 3.614 7.332 7.178 114.21 90.00 104.27
Fractional coordinates of all 9 atoms:
S1 0.211 0.421 0.257
Dy1 0.872 0.744 0.437
S2 0.530 0.060 0.729
Dy2 0.128 0.256 0.563
S3 0.470 0.940 0.271
Na1 0.000 0.000 0.000
Cu1 0.686 0.373 0.023
Cu2 0.314 0.627 0.977
S4 0.789 0.579 0.743

Calculated values
As for the formation energy (no corrections): -1.199 eV/atom. The density comes out at 5.999 g cm⁻³. The total energy is -5.113 eV/atom.

=====

## NaDyCuS2 (PBE-GGA)

Data for an optimized crystal structure of NaDyCuS2.

Lattice parameters (Å, degrees): 4.572 6.697 7.638 99.31 90.00 90.00
Fractional coordinates of all 10 atoms:
S1 0.309 0.259 0.033
S2 0.309 0.741 0.467
S3 0.691 0.259 0.533
Cu1 0.000 0.000 0.500
Cu2 0.000 0.000 0.000
Dy1 0.491 0.000 0.250
S4 0.691 0.741 0.967
Na1 0.138 0.500 0.750
Na2 0.862 0.500 0.250
Dy2 0.509 0.000 0.750

Calculated values
As for the formation energy (no corrections): -1.026 eV/atom. The density comes out at 4.507 g cm⁻³. The total energy is -4.680 eV/atom.

=====

## NaDy2Cu2Se4 (PBE-GGA)

Data for an optimized crystal structure of NaDy2Cu2Se4.

Lattice parameters (Å, degrees): 3.788 7.633 7.496 114.46 90.00 104.37
Fractional coordinates of all 9 atoms:
Se1 0.473 0.947 0.268
Se2 0.527 0.053 0.732
Se3 0.212 0.424 0.257
Cu1 0.307 0.613 0.981
Dy1 0.873 0.746 0.431
Na1 0.000 0.000 0.000
Dy2 0.127 0.254 0.569
Cu2 0.693 0.387 0.019
Se4 0.788 0.576 0.743

Calculated values
As for the formation energy (no corrections): -1.085 eV/atom. The density comes out at 6.919 g cm⁻³. The total energy is -4.713 eV/atom.

=====

## NaDy2CuSe4 (PBE-GGA)

Data for an optimized crystal structure of NaDy2CuSe4.

Lattice parameters (Å, degrees): 4.055 7.091 14.292 90.00 90.00 106.61
Fractional coordinates of all 16 atoms:
Se1 0.728 0.457 0.617
Dy1 0.635 0.269 0.068
Se2 0.272 0.543 0.383
Dy2 0.365 0.731 0.932
Se3 0.272 0.543 0.117
Dy3 0.635 0.269 0.432
Se4 0.000 0.000 0.000
Se5 0.551 0.102 0.250
Cu1 0.155 0.310 0.250
Se6 0.000 0.000 0.500
Cu2 0.845 0.690 0.750
Dy4 0.365 0.731 0.568
Na1 0.117 0.235 0.750
Se7 0.449 0.898 0.750
Na2 0.883 0.765 0.250
Se8 0.728 0.457 0.883

Calculated values
As for the formation energy (no corrections): -1.467 eV/atom. The density comes out at 6.134 g cm⁻³. The total energy is -5.037 eV/atom.

=====

## NaDyCuTe2 (PBE-GGA)

Data for an optimized crystal structure of NaDyCuTe2.

Lattice parameters (Å, degrees): 4.578 7.825 8.286 98.20 90.00 90.00
Fractional coordinates of all 10 atoms:
Na1 0.831 0.500 0.250
Te1 0.310 0.268 0.034
Te2 0.310 0.732 0.466
Te3 0.690 0.732 0.966
Te4 0.690 0.268 0.534
Dy1 0.505 0.000 0.750
Cu1 0.000 0.000 0.500
Cu2 0.000 0.000 0.000
Dy2 0.495 0.000 0.250
Na2 0.169 0.500 0.750

Calculated values
As for the formation energy (no corrections): -0.693 eV/atom. The density comes out at 5.700 g cm⁻³. The total energy is -3.954 eV/atom.

=====

## NaDyTlCu (PBE-GGA)

Data for an optimized crystal structure of NaDyTlCu.

Lattice parameters (Å, degrees): 5.087 5.087 5.087 60.00 60.00 60.00
Fractional coordinates of all 4 atoms:
Na1 0.500 0.500 0.500
Dy1 0.000 0.000 0.000
Tl1 0.750 0.750 0.750
Cu1 0.250 0.250 0.250

Calculated values
The density comes out at 8.088 g cm⁻³. The total energy is -3.111 eV/atom. Its energy of formation is -0.015 eV per atom.

=====

## Dy2NbCu (PBE-GGA)

Data for an optimized crystal structure of Dy2NbCu.

Lattice parameters (Å, degrees): 3.161 3.161 10.742 81.54 81.54 60.00
Last column: magnetic moment on the atom in μB.
Fractional coordinates of all 4 atoms:
Dy1 0.094 0.094 0.718  0.09
Dy2 0.906 0.906 0.282  0.09
Nb1 0.000 0.000 0.000  0.61
Cu1 0.500 0.500 0.500  0.01

Calculated values
The density comes out at 8.728 g cm⁻³. The total energy is -5.292 eV/atom. Its energy of formation is 0.551 eV per atom.

=====

## Dy2NbCu (PBE-GGA)

Data for an optimized crystal structure of Dy2NbCu.

Lattice parameters (Å, degrees): 3.295 3.295 8.183 90.00 90.00 90.00
Fractional coordinates of all 4 atoms:
Cu1 0.500 0.500 0.000
Dy1 0.000 0.000 0.772
Dy2 0.000 0.000 0.228
Nb1 0.500 0.500 0.500

Calculated values
The density comes out at 8.997 g cm⁻³. The total energy is -5.773 eV/atom. Its energy of formation is 0.069 eV per atom.

=====

## NdDyCu (PBE-GGA)

Data for an optimized crystal structure of NdDyCu.

Lattice parameters (Å, degrees): 4.920 4.920 4.920 60.00 60.00 60.00
Fractional coordinates of all 3 atoms:
Dy1 0.000 0.000 0.000
Cu1 0.250 0.250 0.250
Nd1 0.500 0.500 0.500

Calculated values
The density comes out at 7.300 g cm⁻³. The total energy is -4.395 eV/atom. Its energy of formation is 0.094 eV per atom.

=====

## NdDyCu4 (PBE-GGA)

Data for an optimized crystal structure of NdDyCu4.

Lattice parameters (Å, degrees): 4.319 5.531 5.531 78.33 67.02 67.02
Fractional coordinates of all 6 atoms:
Cu1 0.834 0.463 0.868
Nd1 0.543 0.457 0.457
Cu2 0.164 0.032 0.640
Cu3 0.164 0.640 0.032
Cu4 0.834 0.868 0.463
Dy1 0.462 0.038 0.038

Calculated values
The density comes out at 8.333 g cm⁻³. The total energy is -4.530 eV/atom. Its energy of formation is -0.238 eV per atom.

=====

> Which formula does entry 6 have?

NaDyTlCu